Record 1
VASP calculation (GGA-PBE) on a geometry-optimized GaS5Cl structure.

a = 5.1541 Å, b = 4.2252 Å, c = 11.3966 Å
α = 107.93°, β = 110.54°, γ = 64.39°
Fractional coordinates of all 7 atoms:
Ga 0.8073 0.7329 0.6869
S 0.8654 0.1385 0.0755
S 0.1932 0.3168 0.0929
S 0.0717 0.8073 0.2078
S 0.2762 0.5956 0.8235
S 0.5220 0.3824 0.6892
Cl 0.7950 0.5572 0.4856

Computed properties:
volume: 29.42 Å³ per atom
E_form (uncorrected): -0.25 eV per atom

Record 2
VASP calculation (GGA-PBE) on a geometry-optimized Nd3Y7Er2 structure.

a = 3.5853 Å, b = 5.8650 Å, c = 19.4813 Å
α = 104.42°, β = 90.00°, γ = 90.00°
Fractional coordinates of all 12 atoms:
Nd 0.5000 0.5000 0.0000
Nd 0.0000 0.1450 0.3658
Nd 0.0000 0.8550 0.6342
Y 0.5000 0.7194 0.4623
Y 0.5000 0.2806 0.5377
Y 0.0000 0.4559 0.1443
Y 0.0000 0.0000 0.0000
Y 0.0000 0.5441 0.8557
Y 0.5000 0.0142 0.8222
Y 0.5000 0.9858 0.1778
Er 0.5000 0.5838 0.2929
Er 0.5000 0.4162 0.7071

Computed properties:
volume: 33.06 Å³ per atom
energy of formation from the pure elements: 2.0 kcal/mol of atoms
energy above the lowest structure with this stoichiometry: 0.0000 eV/atom
Fermi-level density of states: 15.27 states/eV/f.u.

Record 3
VASP calculation (GGA-PBE) on a geometry-optimized BeZnCuI2 structure.

a = 5.6357 Å, b = 4.6219 Å, c = 5.6357 Å
α = 90.00°, β = 90.00°, γ = 90.00°
Each line ends with the local moment (μB).
Fractional coordinates of all 5 atoms:
I 0.0000 0.0000 0.5000  0.05
I 0.5000 0.0000 0.0000  0.04
Be 0.5000 0.5000 0.5000  0.15
Zn 0.0000 0.0000 0.0000  0.00
Cu 0.0000 0.5000 0.0000  -0.01

Computed properties:
volume: 29.36 Å³ per atom
E_form (uncorrected): 0.86 eV per atom
Fermi-level density of states: 3.32 states/eV/f.u.

Record 4
VASP calculation (GGA-PBE) on a geometry-optimized HfTi7Ga4 structure.

a = 4.8955 Å, b = 7.7885 Å, c = 6.3894 Å
α = 76.55°, β = 67.47°, γ = 71.68°
Each line ends with the local moment (μB).
Fractional coordinates of all 12 atoms:
Hf 0.0000 0.0000 0.0000  0.06
Ti 0.7852 0.8857 0.5439  0.41
Ti 0.2148 0.1143 0.4561  0.41
Ti 0.0569 0.6126 0.2736  0.00
Ti 0.9431 0.3874 0.7264  0.00
Ti 0.2913 0.6445 0.7729  -0.02
Ti 0.5000 0.0000 0.0000  0.11
Ti 0.7087 0.3555 0.2271  -0.02
Ga 0.5580 0.2443 0.6397  -0.01
Ga 0.4420 0.7557 0.3603  -0.01
Ga 0.6905 0.6658 0.9532  0.00
Ga 0.3095 0.3342 0.0468  0.00

Computed properties:
volume: 17.66 Å³ per atom
energy of formation from the pure elements: -0.3 kcal/mol of atoms
Fermi-level density of states: 12.11 states/eV/f.u.

Record 5
VASP calculation (GGA-PBE) on a geometry-optimized CrTc2Ru structure.

a = 4.2867 Å, b = 4.2867 Å, c = 4.2867 Å
α = 60.00°, β = 60.00°, γ = 60.00°
Fractional coordinates of all 4 atoms:
Ru 0.5000 0.5000 0.5000
Tc 0.2500 0.2500 0.2500
Tc 0.7500 0.7500 0.7500
Cr 0.0000 0.0000 0.0000

Computed properties:
volume: 13.92 Å³ per atom
energy of formation from the pure elements: 7.2 kcal/mol of atoms
energy above the lowest structure with this stoichiometry: 0.2056 eV/atom
Fermi-level density of states: 7.24 states/eV/f.u.

Record 6
VASP calculation (GGA-PBE) on a geometry-optimized ZrTc2 structure.

a = 2.8409 Å, b = 4.5554 Å, c = 7.7419 Å
α = 90.00°, β = 90.00°, γ = 90.00°
Fractional coordinates of all 6 atoms:
Zr 0.0000 0.0000 0.0000
Zr 0.5000 0.5000 0.5000
Tc 0.2027 0.0000 0.3403
Tc 0.2973 0.5000 0.8403
Tc 0.7027 0.5000 0.1597
Tc 0.7973 0.0000 0.6597

Computed properties:
volume: 16.70 Å³ per atom
energy of formation from the pure elements: 2.5 kcal/mol of atoms
energy above the lowest structure with this stoichiometry: 0.4193 eV/atom
Fermi-level density of states: 3.42 states/eV/f.u.

Record 7
VASP calculation (GGA-PBE) on a geometry-optimized Pr6Dy3YHo2 structure.

a = 6.3095 Å, b = 6.3095 Å, c = 11.8894 Å
α = 95.06°, β = 95.06°, γ = 120.00°
Fractional coordinates of all 12 atoms:
Pr 0.9163 0.5820 0.7501
Pr 0.7496 0.7496 0.2501
Pr 0.0837 0.4180 0.2499
Pr 0.5820 0.9163 0.7501
Pr 0.2504 0.2504 0.7499
Pr 0.4180 0.0837 0.2499
Dy 0.1668 0.8332 0.5000
Dy 0.8332 0.1668 0.5000
Dy 0.5000 0.5000 0.5000
Y 0.0000 0.0000 0.0000
Ho 0.3334 0.6666 0.0000
Ho 0.6666 0.3334 0.0000

Computed properties:
volume: 33.62 Å³ per atom
energy of formation from the pure elements: 0.2 kcal/mol of atoms
Fermi-level density of states: 13.15 states/eV/f.u.

Record 8
VASP calculation (GGA-PBE) on a geometry-optimized LiPm4Al2Ag structure.

a = 5.2796 Å, b = 5.2796 Å, c = 9.1642 Å
α = 73.26°, β = 73.26°, γ = 60.00°
Fractional coordinates of all 8 atoms:
Li 0.0000 0.0000 0.0000
Pm 0.3765 0.3765 0.8706
Pm 0.8738 0.8738 0.3787
Pm 0.1262 0.1262 0.6213
Pm 0.6235 0.6235 0.1294
Al 0.7461 0.7461 0.7616
Al 0.2539 0.2539 0.2384
Ag 0.5000 0.5000 0.5000

Computed properties:
volume: 26.08 Å³ per atom
energy of formation from the pure elements: -5.9 kcal/mol of atoms
Fermi-level density of states: 7.72 states/eV/f.u.